--- one ---
DFT (PBE) results for an optimized crystal structure of PmNd2Er2.

The structure in extended XYZ format:
```
10
Lattice="-1.636 8.066 3.703 -6.604 -4.471 4.226 5.638 -2.215 0.456" Properties=species:S:1:pos:R:3 pbc="T T T"
Nd -2.507 2.326 5.606
Nd -2.162 2.058 2.472
Nd -0.439 -0.678 5.913
Nd -0.094 -0.946 2.779
Pm -4.862 -4.186 4.305
Pm 2.260 5.566 4.080
Er -1.386 -3.637 4.464
Er -3.548 -0.871 4.167
Er 0.947 2.251 4.219
Er -1.215 5.017 3.921
```

Output
Density of states at the Fermi level (states/eV per cell): 13.55

--- two ---
DFT (PBE) results for an optimized crystal structure of PmNd2Er2.

The structure in extended XYZ format:
```
5
Lattice="3.503 0.000 0.925 1.539 3.025 1.266 -2.205 1.179 15.442" Properties=species:S:1:pos:R:3 pbc="T T T"
Nd 1.544 3.616 15.437
Nd 1.294 0.588 2.196
Pm 1.419 2.102 8.816
Er 2.267 0.839 5.605
Er 0.571 3.366 12.028
```

Output
Density of states at the Fermi level (states/eV per cell): 7.67

Which of them is least stable? Easy: one.

--- one ---
DFT (PBE) results for an optimized crystal structure of Pm3Nd6Er.

The structure in extended XYZ format:
```
20
Lattice="-5.606 2.823 1.744 -5.396 -5.935 -7.738 1.247 -3.923 10.358" Properties=species:S:1:pos:R:3 pbc="T T T"
Pm -6.102 -3.519 0.239
Pm -5.348 1.247 4.242
Pm -1.767 -4.467 3.538
Pm -8.059 -5.195 5.954
Pm -4.092 -0.633 -0.845
Pm -6.804 -7.075 0.867
Er -0.663 -3.989 7.084
Er -7.561 -3.817 -3.197
Nd -9.281 -5.196 -0.354
Nd -4.211 -1.592 2.596
Nd -3.701 -5.767 6.339
Nd -4.405 -4.945 -2.442
Nd -5.626 -4.951 3.489
Nd -3.832 -1.551 11.241
Nd -1.967 -3.173 0.202
Nd -3.381 -6.532 1.094
Nd -7.352 -0.614 -1.571
Nd -1.772 -1.185 5.121
Nd -7.212 -4.835 -6.476
Nd -4.258 -2.640 6.466
```

Output
Density of states at the Fermi level (states/eV per cell): 26.10

--- two ---
DFT (PBE) results for an optimized crystal structure of Pm3Nd6Er.

The structure in extended XYZ format:
```
10
Lattice="-1.922 -6.722 -0.577 8.540 -2.258 -2.138 -4.874 4.421 7.368" Properties=species:S:1:pos:R:3 pbc="T T T"
Pm -4.783 0.858 5.928
Pm 0.000 0.000 0.000
Pm 6.527 -5.417 -1.276
Nd 0.419 1.295 3.681
Nd 2.234 -2.675 1.245
Nd 5.626 -1.608 -0.002
Nd -3.881 -2.951 4.654
Nd 1.326 -5.854 0.972
Nd -0.490 -1.884 3.408
Er 3.309 -4.490 -1.358
```

Output
Density of states at the Fermi level (states/eV per cell): 18.01

Which of them is least stable? Easy: two.

--- one ---
DFT (PBE) results for an optimized crystal structure of Pm5Nd12Er2.

The structure in extended XYZ format:
```
19
Lattice="-0.780 -5.356 -4.814 5.004 -3.152 8.146 -6.549 -4.969 6.589" Properties=species:S:1:pos:R:3 pbc="T T T"
Nd -2.351 -6.917 10.824
Nd 0.419 -3.860 1.524
Nd -4.768 -4.035 5.262
Nd 0.026 -6.560 -0.902
Nd -4.824 -6.083 2.100
Nd -2.744 -9.617 8.397
Nd -1.797 -5.663 3.859
Nd -2.186 -8.333 1.460
Nd 2.444 -9.442 4.660
Nd -0.139 -5.144 8.462
Nd 2.500 -7.394 7.822
Nd -0.527 -7.813 6.063
Pm 1.656 -4.835 5.111
Pm -3.981 -8.642 4.810
Pm -3.274 -2.484 3.295
Pm 1.322 -7.279 2.436
Pm -3.646 -6.197 7.486
Er -0.218 -1.500 -1.348
Er -0.561 -3.855 -3.465
```

Output
Density of states at the Fermi level (states/eV per cell): 31.77

--- two ---
DFT (PBE) results for an optimized crystal structure of Pm5Nd12Er2.

The structure in extended XYZ format:
```
19
Lattice="8.067 -0.174 0.701 0.317 8.600 3.778 -0.366 -0.467 9.380" Properties=species:S:1:pos:R:3 pbc="T T T"
Er 0.134 6.176 5.276
Er -0.183 1.957 7.883
Nd 1.823 8.023 7.649
Nd 6.567 4.887 3.152
Nd 5.072 6.864 7.146
Nd 3.252 5.176 4.193
Nd 0.791 7.048 11.504
Nd 2.945 1.095 6.714
Nd 4.765 2.783 9.667
Nd 1.450 3.072 10.708
Nd 5.701 3.518 6.389
Nd 2.316 4.441 7.471
Nd 7.227 0.911 2.356
Nd 6.195 -0.064 6.211
Pm 4.033 -0.087 0.351
Pm 3.844 6.079 10.308
Pm 4.174 1.880 3.551
Pm 0.692 2.781 4.586
Pm 7.326 5.178 9.274
```

Output
Density of states at the Fermi level (states/eV per cell): 26.86

Which of them is least stable? Easy: one.

--- one ---
DFT (PBE) results for an optimized crystal structure of Pm2Nd3Er6.

The structure in extended XYZ format:
```
11
Lattice="-3.719 2.271 -4.354 -5.277 -2.892 -1.358 -6.701 6.998 6.452" Properties=species:S:1:pos:R:3 pbc="T T T"
Er -2.613 2.326 0.531
Er -8.611 1.910 -3.272
Er -5.609 2.120 -1.368
Er -10.088 4.257 2.109
Er -7.807 6.943 1.567
Er -7.086 4.468 4.012
Nd 0.000 0.000 0.000
Nd -6.016 -0.435 -3.804
Nd -2.981 -0.186 -1.908
Pm -8.208 4.428 -0.855
Pm -7.489 1.949 1.595
```

Output
Density of states at the Fermi level (states/eV per cell): 16.01

--- two ---
DFT (PBE) results for an optimized crystal structure of Pm2Nd3Er6.

The structure in extended XYZ format:
```
11
Lattice="4.765 0.000 0.000 0.000 4.765 0.000 -2.383 -2.383 16.560" Properties=species:S:1:pos:R:3 pbc="T T T"
Pm 0.000 0.000 15.028
Pm 2.383 2.383 1.532
Er 0.000 2.383 3.998
Er 2.383 2.383 6.353
Er 0.000 0.000 10.208
Er 0.000 2.383 12.562
Er 2.383 0.000 12.562
Er 2.383 0.000 3.998
Nd 2.383 2.383 9.793
Nd 0.000 0.000 6.767
Nd 0.000 0.000 0.000
```

Output
Density of states at the Fermi level (states/eV per cell): 16.48

Which of them is least stable? Easy: two.